DFT (PBE) results for an optimized crystal structure of TaNi2Br.

crystal system	tetragonal
DFT total energy	-23.4	eV/f.u.
energy relative to the lowest polymorph listed for this composition	0.300	eV per atom
SG	I-42d (122)
D(E_F)	0.406	states/eV/cell
raw formation energy	412	meV per atom

Unit cell a=5.516 b=5.516 c=5.516 alpha=102.85 beta=102.85 gamma=123.72
Positions (direct):
Ta: 0.000 0.000 0.000
Ta: 0.750 0.250 0.500
Ni: 0.135 0.625 0.010
Ni: 0.375 0.385 0.510
Ni: 0.615 0.125 0.990
Ni: 0.875 0.865 0.490
Br: 0.250 0.750 0.500
Br: 0.500 0.500 0.000